{
  "formula": "Tl2InMo",
  "functional": "PBE",
  "state": "relaxed",
  "n_ef_per_ev_fu": 2.486,
  "relative_energy_ev_per_atom": 0.211,
  "spacegroup": "No. 12",
  "e_form_kj_per_mol_atoms": 63.60,
  "lattice": [[6.120, -0.010, 0.000], [-2.938, 5.369, 0.000], [0.802, 1.351, 2.756]],
  "species": ["Mo", "Tl", "Tl", "In"],
  "fractional_positions": [[0.000, 0.500, 0.500], [0.500, 0.500, 0.000], [0.000, 0.000, 0.000], [0.500, 0.000, 0.500]]
}

---

{
  "formula": "MgAsP",
  "functional": "PBE",
  "state": "relaxed",
  "n_ef_per_ev_fu": 0.756,
  "relative_energy_ev_per_atom": 0.000,
  "spacegroup": "No. 2",
  "e_form_kj_per_mol_atoms": -22.28,
  "lattice": [[-2.128, -3.642, 2.912], [-1.541, -4.984, 6.257], [-2.738, 11.428, 1.117]],
  "species": ["Mg", "Mg", "As", "As", "P", "P"],
  "fractional_positions": [[0.104, 0.100, 0.802], [0.896, 0.900, 0.198], [0.838, 0.290, 0.418], [0.162, 0.710, 0.582], [0.215, 0.946, 0.108], [0.785, 0.054, 0.892]]
}

---

{
  "formula": "ZrAlIr2",
  "functional": "PBE",
  "state": "relaxed",
  "n_ef_per_ev_fu": 5.966,
  "spacegroup": "No. 160",
  "e_form_kj_per_mol_atoms": -15.34,
  "lattice": [[9.322, -0.011, -0.006], [8.880, 2.837, -0.006], [8.880, 1.379, 2.480]],
  "species": ["Al", "Ir", "Ir", "Zr"],
  "fractional_positions": [[0.740, 0.740, 0.740], [0.254, 0.254, 0.254], [0.004, 0.004, 0.004], [0.502, 0.502, 0.502]]
}

---

{
  "formula": "CdFe2RuN",
  "functional": "PBE",
  "state": "relaxed",
  "e_form_raw_ev_per_atom": 0.08,
  "n_ef_per_ev_fu": 3.822,
  "spacegroup": "No. 123",
  "lattice": [[3.936, 0.000, 0.000], [0.000, 3.936, 0.000], [0.000, 0.000, 4.056]],
  "species": ["Fe", "Fe", "Ru", "N", "Cd"],
  "fractional_positions": [[0.500, 0.000, 0.000], [0.000, 0.500, 0.000], [0.000, 0.000, 0.500], [0.000, 0.000, 0.000], [0.500, 0.500, 0.500]]
}